The following is a GGA-PBE calculation of crystalline MnTc2Mo at its relaxed geometry, from Alexandria via LeMat-Bulk.

Cell: 2.6518 4.3428 5.1107 Å, 90.00 99.09 90.00°
Sites, in units of the cell vectors:
Mn  0.0000  0.0000  0.0000
Tc  0.2653  0.5000  0.7579
Tc  0.7347  0.5000  0.2421
Mo  0.5000  0.0000  0.5000

Formation energy ... 0.110 eV per atom
DOS(E_F) ... 0.906 states/eV per atom
Final energy ... -10.07 eV per atom
Mass density ... 9.91 g/cm3

***

The following is a GGA-PBE calculation of crystalline Mn2TcMo at its relaxed geometry, from Alexandria via LeMat-Bulk.

Cell: 2.6274 4.0944 5.1857 Å, 90.00 103.07 90.00°
Sites, in units of the cell vectors:
Mn  0.2418  0.0000  0.2465
Mn  0.7582  0.0000  0.7535
Tc  0.5000  0.5000  0.0000
Mo  0.0000  0.5000  0.5000

Formation energy ... 0.115 eV per atom
DOS(E_F) ... 1.001 states/eV per atom
Final energy ... -9.77 eV per atom
Excess energy over the best structure of this formula in the dataset ... 0.0223 eV/atom
Mass density ... 9.28 g/cm3

***

The following is a GGA-PBE calculation of crystalline Mn2TcMo at its relaxed geometry, from Alexandria via LeMat-Bulk.

Cell: 3.1851 4.1837 8.1576 Å, 90.00 90.00 90.00°
Sites, in units of the cell vectors:
Mn  0.0000  0.0000  0.2453
Mn  0.0000  0.0000  0.7547
Mn  0.5000  0.5000  0.2453
Mn  0.5000  0.5000  0.7547
Tc  0.0000  0.5000  0.0000
Tc  0.5000  0.0000  0.0000
Mo  0.0000  0.5000  0.5000
Mo  0.5000  0.0000  0.5000

Formation energy ... 0.130 eV per atom
DOS(E_F) ... 1.077 states/eV per atom
Final energy ... -9.75 eV per atom
Excess energy over the best structure of this formula in the dataset ... 0.0375 eV/atom
Mass density ... 9.28 g/cm3

***

The following is a GGA-PBE calculation of crystalline MnTc2Mo at its relaxed geometry, from Alexandria via LeMat-Bulk.

Cell: 5.0961 5.1518 5.3134 Å, 100.75 99.68 117.72°
Sites, in units of the cell vectors:
Mn  0.0036  0.2475  0.1245
Mn  0.9964  0.7525  0.8755
Tc  0.0026  0.7500  0.3687
Tc  0.4979  0.7525  0.1251
Tc  0.5021  0.2475  0.8749
Tc  0.9974  0.2500  0.6313
Mo  0.4962  0.7466  0.6290
Mo  0.5038  0.2534  0.3710

Formation energy ... 0.069 eV per atom
DOS(E_F) ... 0.889 states/eV per atom
Final energy ... -10.11 eV per atom
Mass density ... 9.93 g/cm3

***

The following is a GGA-PBE calculation of crystalline Mn2TcMo at its relaxed geometry, from Alexandria via LeMat-Bulk.

Cell: 4.1838 4.1838 3.1127 Å, 90.00 90.00 90.00°
Sites, in units of the cell vectors:
Mn  0.0000  0.5000  0.0000
Mn  0.5000  0.0000  0.0000
Tc  0.0000  0.0000  0.5000
Mo  0.5000  0.5000  0.5000

Formation energy ... 0.124 eV per atom
DOS(E_F) ... 1.273 states/eV per atom
Final energy ... -9.76 eV per atom
Excess energy over the best structure of this formula in the dataset ... 0.0310 eV/atom
Mass density ... 9.26 g/cm3

***

The following is a GGA-PBE calculation of crystalline MnTcMo3 at its relaxed geometry, from Alexandria via LeMat-Bulk.

Cell: 4.3991 4.3991 4.3991 Å, 90.00 90.00 90.00°
Sites, in units of the cell vectors:
Mn  0.0000  0.0000  0.0000
Tc  0.5000  0.5000  0.5000
Mo  0.0000  0.0000  0.5000
Mo  0.0000  0.5000  0.0000
Mo  0.5000  0.0000  0.0000

Formation energy ... 1.224 eV per atom
DOS(E_F) ... 1.171 states/eV per atom
Final energy ... -9.18 eV per atom
Excess energy over the best structure of this formula in the dataset ... 0.0000 eV/atom
Mass density ... 8.60 g/cm3

***

The following is a GGA-PBE calculation of crystalline MnTc2Mo at its relaxed geometry, from Alexandria via LeMat-Bulk.

Cell: 2.7459 3.8233 5.4495 Å, 90.00 90.00 90.00°
Sites, in units of the cell vectors:
Mn  0.0000  0.0000  0.0000
Tc  0.0000  0.0000  0.5118
Tc  0.5000  0.5000  0.7578
Mo  0.5000  0.5000  0.2457

Formation energy ... 0.161 eV per atom
DOS(E_F) ... 1.282 states/eV per atom
Final energy ... -10.02 eV per atom
Mass density ... 10.07 g/cm3

***

The following is a GGA-PBE calculation of crystalline Mn2TcMo at its relaxed geometry, from Alexandria via LeMat-Bulk.

Cell: 3.8254 3.8254 7.5678 Å, 90.00 90.00 90.00°
Sites, in units of the cell vectors:
Mn  0.0000  0.0000  0.0000
Mn  0.0000  0.5000  0.2500
Mn  0.5000  0.0000  0.7500
Mn  0.5000  0.5000  0.5000
Tc  0.0000  0.0000  0.5000
Tc  0.5000  0.5000  0.0000
Mo  0.0000  0.5000  0.7500
Mo  0.5000  0.0000  0.2500

Formation energy ... 0.147 eV per atom
DOS(E_F) ... 1.292 states/eV per atom
Final energy ... -9.74 eV per atom
Excess energy over the best structure of this formula in the dataset ... 0.0540 eV/atom
Mass density ... 9.11 g/cm3

***

- Among the records above, which one has the lowest final energy?
  number 4

***

- Among the records above, which one has the lowest final energy?
  number 4

***

- Number 1 is which compound?
  MnTc2Mo

***

Please write out number 2 again, unchanged.
The following is a GGA-PBE calculation of crystalline Mn2TcMo at its relaxed geometry, from Alexandria via LeMat-Bulk.

Cell: 2.6274 4.0944 5.1857 Å, 90.00 103.07 90.00°
Sites, in units of the cell vectors:
Mn  0.2418  0.0000  0.2465
Mn  0.7582  0.0000  0.7535
Tc  0.5000  0.5000  0.0000
Mo  0.0000  0.5000  0.5000

Formation energy ... 0.115 eV per atom
DOS(E_F) ... 1.001 states/eV per atom
Final energy ... -9.77 eV per atom
Excess energy over the best structure of this formula in the dataset ... 0.0223 eV/atom
Mass density ... 9.28 g/cm3